ZnSbTe2Pd: optimized geometry, PBE.

Properties
offset from the most stable computed form = 275.3 meV per atom
space-group type = P4/mmm, No. 123
density = 6.44 g/cm³
VASP energy = -2.689 eV/atom
ΔE_f (raw) = 685.8 meV/atom
total magnetization = 0.00 μB per cell

Cell: 5.277 5.277 5.085 Å, 90.00 90.00 90.00°
Atoms (fractional coordinates):
1 Zn 0.000 0.000 0.000
2 Sb 0.000 0.000 0.500
3 Te 0.000 0.500 0.000
4 Te 0.500 0.000 0.000
5 Pd 0.500 0.500 0.500

IrAuNO2: optimized geometry, PBE.

Properties
space-group type = P4/mmm, No. 123
density = 11.77 g/cm³
VASP energy = -5.473 eV/atom
ΔE_f (raw) = 602.9 meV/atom
total magnetization = 0.00 μB per cell

Cell: 4.041 4.041 3.760 Å, 90.00 90.00 90.00°
Atoms (fractional coordinates):
1 Ir 0.000 0.000 0.000
2 Au 0.500 0.500 0.500
3 N 0.000 0.000 0.500
4 O 0.000 0.500 0.000
5 O 0.500 0.000 0.000

> Look up the density of the second one.

11.77 g/cm³

> Which of these has the lowest VASP energy?

IrAuNO2

> Among the records above, which one has the lowest VASP energy?

IrAuNO2

> Which of these has the lowest VASP energy?

IrAuNO2